(1)
First-principles (PBE) data for a relaxed CuSeBr4 crystal, as listed in Alexandria.

Unit cell a=9.3992 b=18.4170 c=6.6486 alpha=90.00 beta=134.95 gamma=90.00
Last column: nearest neighbours and their distance in Å.
Space group C2/c (No. 15)
Unique sites:
Cu 0.0000 0.1263 0.2500 x4  4 Br 2.44
Se 0.0000 0.3741 0.7500 x4  4 Br 2.58-2.59
Br 0.2304 0.0781 0.2273 x8  1 Cu 2.44, 1 Se 2.58
Br 0.2468 0.3263 0.2663 x8  1 Cu 2.44, 1 Se 2.59

Computed properties:
For the formation energy (no corrections), the calculation gives -8 kJ per mole of atoms. The size of the total moment is 0.00 Bohr magnetons per cell. As for the relative energy among the computed polymorphs: 0.0 kJ/mol of atoms.

(2)
First-principles (PBE) data for a relaxed Cu4SeBr3 crystal, as listed in Alexandria.

Unit cell a=7.9616 b=6.9496 c=6.6495 alpha=90.00 beta=90.00 gamma=90.00
Last column: nearest neighbours and their distance in Å.
Space group Pmn2_1 (No. 31)
Unique sites:
Cu 0.0000 0.1517 0.0000 x2  1 Se 2.33, 3 Br 2.51-2.52
Cu 0.0000 0.8357 0.5314 x2  1 Se 2.32, 3 Br 2.52-2.53
Cu 0.2365 0.6776 0.0044 x4  1 Se 2.33, 3 Br 2.50-2.51
Se 0.0000 0.8358 0.8809 x2  4 Cu 2.32-2.33
Br 0.0000 0.1676 0.3781 x2  4 Cu 2.50-2.52
Br 0.2490 0.6629 0.3803 x4  4 Cu 2.50-2.53

Computed properties:
For the formation energy (no corrections), the calculation gives -21 kJ per mole of atoms. The size of the total moment is 0.00 Bohr magnetons per cell.

(3)
First-principles (PBE) data for a relaxed Cu3Se2Br3 crystal, as listed in Alexandria.

Unit cell a=3.5501 b=19.4420 c=12.9063 alpha=90.00 beta=90.00 gamma=90.00
Last column: nearest neighbours and their distance in Å.
Space group Cmcm (No. 63)
Unique sites:
Cu 0.0000 0.1256 0.2500 x4  2 Se 2.35, 2 Br 2.41
Cu 0.0000 0.3418 0.5056 x8  2 Se 2.40, 2 Br 2.40
Se 0.0000 0.2034 0.1103 x8  3 Cu 2.35-2.40
Br 0.0000 0.1058 0.5915 x8  2 Cu 2.40
Br 0.0000 0.4584 0.7500 x4  2 Cu 2.41

Computed properties:
For the formation energy (no corrections), the calculation gives -18 kJ per mole of atoms. The size of the total moment is 0.00 Bohr magnetons per cell.